## UTl2HgS4 (PBE-GGA)

Data for UTl2HgS4 after structural relaxation.

Computed properties:
Total moment = 0.00 μB/cell
Formation energy from raw total energies = -675 meV/atom

Unit cell a=7.814 b=4.055 c=7.899 alpha=90.00 beta=90.53 gamma=90.00
Space group P2/m (No. 10)
Unique sites:
U (0.000, 0.000, 0.000)
Tl (0.000, 0.000, 0.500)
Tl (0.500, 0.500, 0.000)
Hg (0.500, 0.500, 0.500)
S (0.128, 0.500, 0.177)
S (0.252, 0.000, 0.820)